Sr3TaCo2O9 | PBE with a Hubbard U | optimized geometry

Output
SG: P-3m1
Total magnetization (μB/f.u.): 6.78
E_tot (eV/atom): -6.9768
DOS(E_F) (states/eV/f.u.): 1.96

a b c (Å): 5.589 5.589 6.825
angles (deg): 90.00 90.00 120.00
Atoms (fractional coordinates):
Sr 0.000 0.000 0.000
Sr 0.333 0.667 0.681
Sr 0.667 0.333 0.319
Ta 0.000 0.000 0.500
Co 0.333 0.667 0.161
Co 0.667 0.333 0.839
O 0.000 0.500 0.000
O 0.167 0.334 0.331
O 0.167 0.833 0.331
O 0.334 0.167 0.669
O 0.500 0.000 0.000
O 0.500 0.500 0.000
O 0.666 0.833 0.331
O 0.833 0.167 0.669
O 0.833 0.666 0.669